[1]
Material: HfZr2In3Ir2
Method: DFT, GGA-PBE
State: optimized geometry

The space group is Amm2 (No. 38) and the conventional cell measures 3.2945, 13.0534 and 7.5542 Å, with angles of 90.00, 90.00 and 90.00 degrees. The inequivalent atoms are Hf at (0.0000, 0.0000, 0.0000), Zr at (0.0000, 0.2106, 0.3659), In at (0.5000, 0.0000, 0.3459), In at (0.5000, 0.1158, 0.6930) and Ir at (0.5000, 0.1647, 0.0755).

For the total energy, the calculation gives -0.265 hartree per atom. The value obtained for the total magnetization is 0.0 μB per cell.

[2]
Material: LaHfIn
Method: DFT, GGA-PBE
State: optimized geometry

The space group is F-43m (No. 216) and the conventional cell measures 7.2003, 7.2003 and 7.2003 Å, with angles of 90.00, 90.00 and 90.00 degrees. The inequivalent atoms are La at (0.0000, 0.0000, 0.0000), Hf at (0.0000, 0.0000, 0.5000) and In at (0.2500, 0.2500, 0.7500).

For the total energy, the calculation gives -0.205 hartree per atom. The value obtained for the total magnetization is 0.1 μB per cell. As for the distance to the lowest polymorph of the same formula: 0.0 kJ/mol of atoms.

[3]
Material: LaHfIn
Method: DFT, GGA-PBE
State: optimized geometry

The space group is F-43m (No. 216) and the conventional cell measures 7.2994, 7.2994 and 7.2994 Å, with angles of 90.00, 90.00 and 90.00 degrees. The inequivalent atoms are La at (0.0000, 0.0000, 0.0000), Hf at (0.2500, 0.2500, 0.7500) and In at (0.2500, 0.2500, 0.2500).

For the total energy, the calculation gives -0.186 hartree per atom. The value obtained for the total magnetization is 2.4 μB per cell. As for the distance to the lowest polymorph of the same formula: 50.7 kJ/mol of atoms.

[4]
Material: LiHfIn
Method: DFT, GGA-PBE
State: optimized geometry

The space group is P4/nmm (No. 129, origin choice 2) and the conventional cell measures 3.1595, 3.1595 and 11.8953 Å, with angles of 90.00, 90.00 and 90.00 degrees. The inequivalent atoms are Li at (0.2500, 0.2500, 0.0692), Hf at (0.2500, 0.2500, 0.4103) and In at (0.2500, 0.2500, 0.7848).

For the total energy, the calculation gives -0.187 hartree per atom. The value obtained for the total magnetization is 0.0 μB per cell. As for the distance to the lowest polymorph of the same formula: 0.0 kJ/mol of atoms.

[5]
Material: LiHf2In
Method: DFT, GGA-PBE
State: optimized geometry

The space group is F-43m (No. 216) and the conventional cell measures 6.9797, 6.9797 and 6.9797 Å, with angles of 90.00, 90.00 and 90.00 degrees. The inequivalent atoms are Li at (0.0000, 0.0000, 0.0000), Hf at (0.0000, 0.0000, 0.5000), Hf at (0.2500, 0.2500, 0.2500) and In at (0.2500, 0.2500, 0.7500).

For the total energy, the calculation gives -0.216 hartree per atom. The value obtained for the total magnetization is 9.2 μB per cell.

[6]
Material: LiHfIn
Method: DFT, GGA-PBE
State: optimized geometry

The space group is F-43m (No. 216) and the conventional cell measures 6.6769, 6.6769 and 6.6769 Å, with angles of 90.00, 90.00 and 90.00 degrees. The inequivalent atoms are Li at (0.0000, 0.0000, 0.0000), Hf at (0.2500, 0.2500, 0.7500) and In at (0.0000, 0.0000, 0.5000).

For the total energy, the calculation gives -0.156 hartree per atom. The value obtained for the total magnetization is 0.0 μB per cell. As for the distance to the lowest polymorph of the same formula: 81.1 kJ/mol of atoms.

[7]
Material: LiHfIn
Method: DFT, GGA-PBE
State: optimized geometry

The space group is F-43m (No. 216) and the conventional cell measures 6.5858, 6.5858 and 6.5858 Å, with angles of 90.00, 90.00 and 90.00 degrees. The inequivalent atoms are Li at (0.0000, 0.0000, 0.0000), Hf at (0.0000, 0.0000, 0.5000) and In at (0.2500, 0.2500, 0.7500).

For the total energy, the calculation gives -0.167 hartree per atom. The value obtained for the total magnetization is 0.0 μB per cell. As for the distance to the lowest polymorph of the same formula: 53.4 kJ/mol of atoms.

[8]
Material: Li2Hf2In2NiPd
Method: DFT, GGA-PBE
State: optimized geometry

The space group is P-4m2 (No. 115) and the conventional cell measures 4.5161, 4.5161 and 6.4317 Å, with angles of 90.00, 90.00 and 90.00 degrees. The inequivalent atoms are Li at (0.0000, 0.0000, 0.0000), Li at (0.5000, 0.5000, 0.5000), Hf at (0.0000, 0.5000, 0.2414), In at (0.0000, 0.5000, 0.7567), Ni at (0.5000, 0.5000, 0.0000) and Pd at (0.0000, 0.0000, 0.5000).

For the total energy, the calculation gives -0.200 hartree per atom. The value obtained for the total magnetization is 0.0 μB per cell.

[9]
Material: Li2Hf2In2NiPt
Method: DFT, GGA-PBE
State: optimized geometry

The space group is P-4m2 (No. 115) and the conventional cell measures 4.5271, 4.5271 and 6.4153 Å, with angles of 90.00, 90.00 and 90.00 degrees. The inequivalent atoms are Li at (0.0000, 0.0000, 0.0000), Li at (0.5000, 0.5000, 0.5000), Hf at (0.0000, 0.5000, 0.2458), In at (0.0000, 0.5000, 0.7619), Ni at (0.5000, 0.5000, 0.0000) and Pt at (0.0000, 0.0000, 0.5000).

For the total energy, the calculation gives -0.207 hartree per atom. The value obtained for the total magnetization is 0.0 μB per cell.

[10]
Material: LiHfInPd
Method: DFT, GGA-PBE
State: optimized geometry

The space group is F-43m (No. 216) and the conventional cell measures 6.5015, 6.5015 and 6.5015 Å, with angles of 90.00, 90.00 and 90.00 degrees. The inequivalent atoms are Li at (0.0000, 0.0000, 0.0000), Hf at (0.2500, 0.2500, 0.2500), In at (0.2500, 0.2500, 0.7500) and Pd at (0.0000, 0.0000, 0.5000).

For the total energy, the calculation gives -0.201 hartree per atom. The value obtained for the total magnetization is 0.0 μB per cell. As for the distance to the lowest polymorph of the same formula: 0.0 kJ/mol of atoms.

[11]
Material: LiHfInPd
Method: DFT, GGA-PBE
State: optimized geometry

The space group is F-43m (No. 216) and the conventional cell measures 6.4949, 6.4949 and 6.4949 Å, with angles of 90.00, 90.00 and 90.00 degrees. The inequivalent atoms are Li at (0.0000, 0.0000, 0.0000), Hf at (0.2500, 0.2500, 0.2500), In at (0.2500, 0.2500, 0.7500) and Pd at (0.0000, 0.0000, 0.5000).

For the total energy, the calculation gives -0.201 hartree per atom. The value obtained for the total magnetization is 0.0 μB per cell. As for the distance to the lowest polymorph of the same formula: 0.0 kJ/mol of atoms.

[12]
Material: LiHfInPd
Method: DFT, GGA-PBE
State: optimized geometry

The space group is F-43m (No. 216) and the conventional cell measures 6.6278, 6.6278 and 6.6278 Å, with angles of 90.00, 90.00 and 90.00 degrees. The inequivalent atoms are Li at (0.0000, 0.0000, 0.0000), Hf at (0.0000, 0.0000, 0.5000), In at (0.2500, 0.2500, 0.7500) and Pd at (0.2500, 0.2500, 0.2500).

For the total energy, the calculation gives -0.194 hartree per atom. The value obtained for the total magnetization is 0.0 μB per cell. As for the distance to the lowest polymorph of the same formula: 17.4 kJ/mol of atoms.